[1]
# EuZnPt (PBE, relaxed)
data_EuZnPt
_chemical_formula_sum 'Eu2 Zn2 Pt2'
_space_group_name_H-M_alt 'I 4 m m'
_space_group_IT_number 107
_space_group_name_Hall 'I 4 -2'
_cell_length_a 3.5026
_cell_length_b 3.5026
_cell_length_c 10.2995
_cell_angle_alpha 90.00
_cell_angle_beta 90.00
_cell_angle_gamma 90.00
loop_
_atom_site_label
_atom_site_type_symbol
_atom_site_fract_x
_atom_site_fract_y
_atom_site_fract_z
Eu1 Eu 0.0000 0.0000 0.0000
Zn1 Zn 0.0000 0.0000 0.2910
Pt1 Pt 0.0000 0.0000 0.6907
# E_form, meV per atom: -584.2



[2]
# HoPaRu (PBE, relaxed)
data_HoPaRu
_chemical_formula_sum 'Ho2 Pa2 Ru2'
_space_group_name_H-M_alt 'I 4 m m'
_space_group_IT_number 107
_space_group_name_Hall 'I 4 -2'
_cell_length_a 3.5112
_cell_length_b 3.5112
_cell_length_c 10.9788
_cell_angle_alpha 90.00
_cell_angle_beta 90.00
_cell_angle_gamma 90.00
loop_
_atom_site_label
_atom_site_type_symbol
_atom_site_fract_x
_atom_site_fract_y
_atom_site_fract_z
Ho1 Ho 0.0000 0.0000 0.0000
Pa1 Pa 0.0000 0.0000 0.2989
Ru1 Ru 0.0000 0.0000 0.6899
# E_form, meV per atom: -317.2



[3]
# ScFe3Hg (PBE, relaxed)
data_ScFe3Hg
_chemical_formula_sum 'Sc1 Fe3 Hg1'
_space_group_name_H-M_alt 'P m -3 m'
_space_group_IT_number 221
_space_group_name_Hall '-P 4 2 3'
_cell_length_a 4.4811
_cell_length_b 4.4811
_cell_length_c 4.4811
_cell_angle_alpha 90.00
_cell_angle_beta 90.00
_cell_angle_gamma 90.00
loop_
_atom_site_label
_atom_site_type_symbol
_atom_site_fract_x
_atom_site_fract_y
_atom_site_fract_z
Sc1 Sc 0.0000 0.0000 0.0000
Fe1 Fe 0.0000 0.0000 0.5000
Hg1 Hg 0.5000 0.5000 0.5000
# E_form, meV per atom: 1313.8



[4]
# KLaZrNbO6 (PBE, relaxed)
data_KLaZrNbO6
_chemical_formula_sum 'K4 La4 Zr4 Nb4 O24'
_space_group_name_H-M_alt 'F -4 3 m'
_space_group_IT_number 216
_space_group_name_Hall 'F -4 2 3'
_cell_length_a 8.2606
_cell_length_b 8.2606
_cell_length_c 8.2606
_cell_angle_alpha 90.00
_cell_angle_beta 90.00
_cell_angle_gamma 90.00
loop_
_atom_site_label
_atom_site_type_symbol
_atom_site_fract_x
_atom_site_fract_y
_atom_site_fract_z
K1 K 0.0000 0.0000 0.0000
La1 La 0.0000 0.0000 0.5000
Zr1 Zr 0.2500 0.2500 0.7500
Nb1 Nb 0.2500 0.2500 0.2500
O1 O 0.0045 0.2500 0.2500
# Uncorrected formation energy, eV/f.u.: -28.3



[5]
# Tl8Hg6Pb (PBE, relaxed)
data_Tl8Hg6Pb
_chemical_formula_sum 'Tl24 Hg18 Pb3'
_space_group_name_H-M_alt 'R -3'
_space_group_IT_number 148
_space_group_name_Hall '-R 3'
_cell_length_a 9.7174
_cell_length_b 9.7174
_cell_length_c 16.9466
_cell_angle_alpha 90.00
_cell_angle_beta 90.00
_cell_angle_gamma 120.00
loop_
_atom_site_label
_atom_site_type_symbol
_atom_site_fract_x
_atom_site_fract_y
_atom_site_fract_z
Tl1 Tl 0.0000 0.0000 0.2362
Tl2 Tl 0.0161 0.7304 0.8977
Hg1 Hg 0.0191 0.8049 0.3995
Pb1 Pb 0.0000 0.0000 0.0000
# E_form, meV per atom: 39.0



[6]
# Rb3Pr2MnTe6 (PBE, relaxed)
data_Rb3Pr2MnTe6
_chemical_formula_sum 'Rb6 Pr4 Mn2 Te12'
_space_group_name_H-M_alt 'C 1 2/m 1'
_space_group_IT_number 12
_cell_length_a 8.0089
_cell_length_b 13.4830
_cell_length_c 8.9784
_cell_angle_alpha 90.00
_cell_angle_beta 108.09
_cell_angle_gamma 90.00
loop_
_space_group_symop_operation_xyz
'x,y,z'
'-x,-y,-z'
'-x,y,-z'
'x,-y,z'
'x+1/2,y+1/2,z'
'-x+1/2,-y+1/2,-z'
'-x+1/2,y+1/2,-z'
'x+1/2,-y+1/2,z'
loop_
_atom_site_label
_atom_site_type_symbol
_atom_site_fract_x
_atom_site_fract_y
_atom_site_fract_z
Rb1 Rb 0.0000 0.0000 0.0000
Rb2 Rb 0.0000 0.3248 0.0000
Pr1 Pr 0.0000 0.1619 0.5000
Mn1 Mn 0.0000 0.5000 0.5000
Te1 Te 0.2087 0.3513 0.6867
Te2 Te 0.2456 0.0000 0.7146
# Uncorrected formation energy, eV/f.u.: -12.5



[7]
# TiOs2N (PBE, relaxed)
data_TiOs2N
_chemical_formula_sum 'Ti4 Os8 N4'
_space_group_name_H-M_alt 'I -4 2 d'
_space_group_IT_number 122
_space_group_name_Hall 'I -4 2bw'
_cell_length_a 6.6949
_cell_length_b 6.6949
_cell_length_c 4.7229
_cell_angle_alpha 90.00
_cell_angle_beta 90.00
_cell_angle_gamma 90.00
loop_
_atom_site_label
_atom_site_type_symbol
_atom_site_fract_x
_atom_site_fract_y
_atom_site_fract_z
Ti1 Ti 0.0000 0.0000 0.0000
Os1 Os 0.1420 0.2500 0.6250
N1 N 0.0000 0.0000 0.5000
# Uncorrected formation energy, eV/f.u.: 0.5



[8]
# Sc2AgCl (PBE, relaxed)
data_Sc2AgCl
_chemical_formula_sum 'Sc8 Ag4 Cl4'
_space_group_name_H-M_alt 'F -4 3 m'
_space_group_IT_number 216
_space_group_name_Hall 'F -4 2 3'
_cell_length_a 7.1317
_cell_length_b 7.1317
_cell_length_c 7.1317
_cell_angle_alpha 90.00
_cell_angle_beta 90.00
_cell_angle_gamma 90.00
loop_
_atom_site_label
_atom_site_type_symbol
_atom_site_fract_x
_atom_site_fract_y
_atom_site_fract_z
Sc1 Sc 0.0000 0.0000 0.0000
Sc2 Sc 0.2500 0.2500 0.2500
Ag1 Ag 0.2500 0.2500 0.7500
Cl1 Cl 0.0000 0.0000 0.5000
# Uncorrected formation energy, eV/f.u.: 0.9



[9]
# CaBOs2Pd (PBE, relaxed)
data_CaBOs2Pd
_chemical_formula_sum 'Ca1 B1 Os2 Pd1'
_space_group_name_H-M_alt 'P 4/m m m'
_space_group_IT_number 123
_space_group_name_Hall '-P 4 2'
_cell_length_a 4.1867
_cell_length_b 4.1867
_cell_length_c 4.3659
_cell_angle_alpha 90.00
_cell_angle_beta 90.00
_cell_angle_gamma 90.00
loop_
_atom_site_label
_atom_site_type_symbol
_atom_site_fract_x
_atom_site_fract_y
_atom_site_fract_z
Ca1 Ca 0.0000 0.0000 0.0000
B1 B 0.5000 0.5000 0.5000
Os1 Os 0.0000 0.5000 0.5000
Pd1 Pd 0.5000 0.5000 0.0000
# E_form, meV per atom: 112.8



[10]
# HfTiMo2 (PBE, relaxed)
data_HfTiMo2
_chemical_formula_sum 'Hf4 Ti4 Mo8'
_space_group_name_H-M_alt 'I -4 2 d'
_space_group_IT_number 122
_space_group_name_Hall 'I -4 2bw'
_cell_length_a 7.1925
_cell_length_b 7.1925
_cell_length_c 5.5830
_cell_angle_alpha 90.00
_cell_angle_beta 90.00
_cell_angle_gamma 90.00
loop_
_atom_site_label
_atom_site_type_symbol
_atom_site_fract_x
_atom_site_fract_y
_atom_site_fract_z
Hf1 Hf 0.0000 0.0000 0.0000
Ti1 Ti 0.0000 0.0000 0.5000
Mo1 Mo 0.2314 0.7500 0.6250
# E_form, meV per atom: 546.0



[11]
# Tb4SnPS2 (PBE, relaxed)
data_Tb4SnPS2
_chemical_formula_sum 'Tb4 Sn1 P1 S2'
_space_group_name_H-M_alt 'P 1 2/m 1'
_space_group_IT_number 10
_cell_length_a 7.0715
_cell_length_b 4.0566
_cell_length_c 7.1416
_cell_angle_alpha 90.00
_cell_angle_beta 109.40
_cell_angle_gamma 90.00
loop_
_space_group_symop_operation_xyz
'x,y,z'
'-x,-y,-z'
'-x,y,-z'
'x,-y,z'
loop_
_atom_site_label
_atom_site_type_symbol
_atom_site_fract_x
_atom_site_fract_y
_atom_site_fract_z
Tb1 Tb 0.2392 0.0000 0.2330
Tb2 Tb 0.2506 0.5000 0.7612
Sn1 Sn 0.5000 0.5000 0.5000
P1 P 0.5000 0.0000 0.0000
S1 S 0.0000 0.0000 0.5000
S2 S 0.0000 0.5000 0.0000
# Uncorrected formation energy, eV/f.u.: -12.4



[12]
# TiP2SI (PBE, relaxed)
data_TiP2SI
_chemical_formula_sum 'Ti1 P2 S1 I1'
_space_group_name_H-M_alt 'P 4/m m m'
_space_group_IT_number 123
_space_group_name_Hall '-P 4 2'
_cell_length_a 5.0542
_cell_length_b 5.0542
_cell_length_c 4.9029
_cell_angle_alpha 90.00
_cell_angle_beta 90.00
_cell_angle_gamma 90.00
loop_
_atom_site_label
_atom_site_type_symbol
_atom_site_fract_x
_atom_site_fract_y
_atom_site_fract_z
Ti1 Ti 0.0000 0.0000 0.0000
P1 P 0.0000 0.5000 0.5000
S1 S 0.5000 0.5000 0.0000
I1 I 0.5000 0.5000 0.5000
# Uncorrected formation energy, eV/f.u.: 7.0



Calculated values (Å³ per atom) of volume for the records, taken in order: 21.1, 22.6, 18.0, 14.1, 30.8, 38.4, 13.2, 22.7, 15.3, 18.1, 24.2, 25.0.